Record 1
Here is crystalline CeNd2YCo2 at its relaxed geometry from the Alexandria database. Energies are from PBE.

Results
Density ... 7.1 g/cm³
Calculated volume ... 24.905 Å³ per atom

a = 6.877 Å, b = 12.887 Å, c = 6.745 Å
α = 90.00°, β = 90.00°, γ = 90.00°
Space group Ibam (No. 72)
One atom of each set of equivalent atoms:
Ce1 0.000 0.000 0.250 x4
Nd1 0.210 0.201 0.000 x8
Y1 0.000 0.500 0.250 x4
Co1 0.212 0.092 0.500 x8

=====

Record 2
Here is crystalline CeNdZnCo at its relaxed geometry from the Alexandria database. Energies are from PBE.

Results
Density ... 7.7 g/cm³
Calculated volume ... 22.176 Å³ per atom

a = 7.079 Å, b = 7.079 Å, c = 7.079 Å
α = 90.00°, β = 90.00°, γ = 90.00°
Space group F-43m (No. 216)
One atom of each set of equivalent atoms:
Ce1 0.000 0.000 0.000 x4
Nd1 0.000 0.000 0.500 x4
Zn1 0.250 0.250 0.750 x4
Co1 0.250 0.250 0.250 x4

=====

Record 3
Here is crystalline CeCoNi2 at its relaxed geometry from the Alexandria database. Energies are from PBE.

Results
Density ... 8.3 g/cm³
Calculated volume ... 15.881 Å³ per atom

a = 4.702 Å, b = 6.638 Å, c = 4.071 Å
α = 90.00°, β = 90.00°, γ = 90.00°
Space group Cmmm (No. 65)
One atom of each set of equivalent atoms:
Ce1 0.000 0.000 0.000 x2
Co1 0.000 0.500 0.000 x2
Ni1 0.000 0.318 0.500 x4

=====

Record 4
Here is crystalline Ce3CoNi at its relaxed geometry from the Alexandria database. Energies are from PBE.

Results
Excess energy over the best structure of this formula in the dataset ... 0.020 eV per atom
Density ... 8.5 g/cm³
Calculated volume ... 20.980 Å³ per atom

a = 7.006 Å, b = 7.388 Å, c = 9.087 Å
α = 90.00°, β = 116.87°, γ = 90.00°
Space group P2_1/c (No. 14)
One atom of each set of equivalent atoms:
Ce1 0.075 0.231 0.068 x4
Ce2 0.194 0.562 0.831 x4
Ce3 0.387 0.552 0.263 x4
Co1 0.272 0.593 0.538 x4
Ni1 0.387 0.249 0.450 x4

=====

Record 5
Here is crystalline CeCoNi2 at its relaxed geometry from the Alexandria database. Energies are from PBE.

Results
Density ... 9.1 g/cm³
Calculated volume ... 14.471 Å³ per atom

a = 4.9113 Å, b = 4.9113 Å, c = 24.9397 Å
α = 90.00°, β = 90.00°, γ = 120.00°
Space group R-3m (No. 166, hexagonal axes)
One atom of each set of equivalent atoms:
Ce1 0.0000 0.0000 0.0000 x3
Ce2 0.0000 0.0000 0.1398 x6
Co1 0.0000 0.0000 0.3327 x6
Co2 0.0000 0.0000 0.5000 x3
Ni1 0.0002 0.5001 0.0814 x18

=====

Record 6
Here is crystalline CeCo3Ni2 at its relaxed geometry from the Alexandria database. Energies are from PBE.

Results
Density ... 8.7 g/cm³
Calculated volume ... 13.843 Å³ per atom

a = 4.8621 Å, b = 4.8621 Å, c = 4.0561 Å
α = 90.00°, β = 90.00°, γ = 120.00°
Space group P6/mmm (No. 191)
One atom of each set of equivalent atoms:
Ce1 0.0000 0.0000 0.0000 x1
Co1 0.0000 0.5000 0.5000 x3
Ni1 0.3333 0.6667 0.0000 x2

=====

Record 7
Here is crystalline CeCoNi2 at its relaxed geometry from the Alexandria database. Energies are from PBE.

Results
Density ... 9.2 g/cm³
Calculated volume ... 14.252 Å³ per atom

a = 3.790 Å, b = 3.790 Å, c = 3.969 Å
α = 90.00°, β = 90.00°, γ = 90.00°
Space group P4/mmm (No. 123)
One atom of each set of equivalent atoms:
Ce1 0.000 0.000 0.000 x1
Co1 0.500 0.500 0.000 x1
Ni1 0.000 0.500 0.500 x2

=====

Record 8
Here is crystalline CeCoNi at its relaxed geometry from the Alexandria database. Energies are from PBE.

Results
Excess energy over the best structure of this formula in the dataset ... 0.107 eV per atom
Density ... 8.9 g/cm³
Calculated volume ... 16.049 Å³ per atom

a = 6.664 Å, b = 5.674 Å, c = 5.385 Å
α = 90.00°, β = 108.95°, γ = 90.00°
Space group P2_1/c (No. 14)
One atom of each set of equivalent atoms:
Ce1 0.228 0.072 0.479 x4
Co1 0.497 0.684 0.367 x4
Ni1 0.173 0.596 0.497 x4

=====

Record 9
Here is crystalline CeCoNi at its relaxed geometry from the Alexandria database. Energies are from PBE.

Results
Excess energy over the best structure of this formula in the dataset ... 0.298 eV per atom
Density ... 8.7 g/cm³
Calculated volume ... 16.481 Å³ per atom

a = 3.517 Å, b = 3.517 Å, c = 7.992 Å
α = 90.00°, β = 90.00°, γ = 90.00°
Space group I4mm (No. 107)
One atom of each set of equivalent atoms:
Ce1 0.000 0.000 0.000 x2
Co1 0.000 0.000 0.719 x2
Ni1 0.000 0.000 0.322 x2

=====

Record 10
Here is crystalline CeCo2Ni4 at its relaxed geometry from the Alexandria database. Energies are from PBE.

Results
Density ... 8.9 g/cm³
Calculated volume ... 13.125 Å³ per atom

a = 6.183 Å, b = 6.183 Å, c = 4.807 Å
α = 90.00°, β = 90.00°, γ = 90.00°
Space group I4/mmm (No. 139)
One atom of each set of equivalent atoms:
Ce1 0.000 0.000 0.000 x2
Co1 0.000 0.500 0.250 x4
Ni1 0.198 0.198 0.500 x8

=====

We obtain D(E_F) values of 1.13 1.54 1.13 1.89 1.30 1.33 1.11 0.72 1.24 1.23 states/eV per atom for the records listed above, in that order.
We obtain ΔH_f (0 K) values of -0.106 -0.078 -0.067 -0.161 -0.300 -0.200 -0.212 -0.211 -0.020 -0.188 eV/atom for the records listed above, in that order.